The following is a DFT calculation (PBE) of LiCeYRe after structural relaxation.

Cell lengths 6.996, 6.996, 6.996 Å; angles 90.00, 90.00, 90.00 degrees
Space group F-43m (No. 216)
Symmetry-distinct sites (fractional):
Li: 0.000 0.000 0.000 [4 per cell]
Ce: 0.250 0.250 0.750 [4 per cell]
Y: 0.250 0.250 0.250 [4 per cell]
Re: 0.000 0.000 0.500 [4 per cell]

## Properties
D(E_F) in states/eV per atom: 1.037
Energy of formation from the pure elements in eV per atom: 0.07
Calculated total energy in eV/atom: -6.6154

The following is a DFT calculation (PBE) of Al2SnTe4 after structural relaxation.

Cell lengths 14.880, 8.302, 10.521 Å; angles 90.00, 134.98, 90.00 degrees
Space group C2 (No. 5)
Symmetry-distinct sites (fractional):
Al: 0.076 0.000 0.325 [4 per cell]
Al: 0.250 0.250 0.175 [4 per cell]
Sn: 0.000 0.375 0.500 [2 per cell]
Sn: 0.000 0.624 0.000 [2 per cell]
Te: 0.036 0.284 0.828 [4 per cell]
Te: 0.036 0.716 0.745 [4 per cell]
Te: 0.209 0.034 0.673 [4 per cell]
Te: 0.209 0.966 0.245 [4 per cell]

## Properties
D(E_F) in states/eV per atom: 0.041
Offset from the most stable computed form in meV/atom: 0.0
Calculated total energy in eV/atom: -3.7369

What did the second record say?
The following is a DFT calculation (PBE) of Al2SnTe4 after structural relaxation.

Cell lengths 14.880, 8.302, 10.521 Å; angles 90.00, 134.98, 90.00 degrees
Space group C2 (No. 5)
Symmetry-distinct sites (fractional):
Al: 0.076 0.000 0.325 [4 per cell]
Al: 0.250 0.250 0.175 [4 per cell]
Sn: 0.000 0.375 0.500 [2 per cell]
Sn: 0.000 0.624 0.000 [2 per cell]
Te: 0.036 0.284 0.828 [4 per cell]
Te: 0.036 0.716 0.745 [4 per cell]
Te: 0.209 0.034 0.673 [4 per cell]
Te: 0.209 0.966 0.245 [4 per cell]

## Properties
D(E_F) in states/eV per atom: 0.041
Offset from the most stable computed form in meV/atom: 0.0
Calculated total energy in eV/atom: -3.7369